[1]
MgZnCl | PBE | relaxed

As for the electronic total energy: -1.78 eV per atom.

The structure belongs to space group F-43m (No. 216); the cell edges are 6.741, 6.741 and 6.741 Å and the angles 90.00°, 90.00° and 90.00°. Symmetry generates all atoms from Mg at (0.000, 0.000, 0.000), Zn at (0.250, 0.250, 0.250) and Cl at (0.250, 0.250, 0.750).



[2]
Mn2Ni4As | PBE | relaxed

As for the electronic total energy: -6.55 eV per atom. The formation energy is 0.038 eV per atom.

The structure belongs to space group C2/m (No. 12); the cell edges are 7.779, 4.713 and 4.562 Å and the angles 90.00°, 90.09° and 90.00°. Symmetry generates all atoms from Mn at (0.000, 0.000, 0.237), Ni at (0.175, 0.500, 0.000), Ni at (0.250, 0.250, 0.500) and As at (0.000, 0.500, 0.500).



[3]
CaPuZnN3 | PBE | relaxed

As for the electronic total energy: -7.85 eV per atom.

The structure belongs to space group P2_1/m (No. 11); the cell edges are 6.070, 3.525 and 8.427 Å and the angles 90.00°, 102.22° and 90.00°. Symmetry generates all atoms from Ca at (0.138, 0.250, 0.187), Pu at (0.368, 0.250, 0.830), Zn at (0.177, 0.750, 0.546), N at (0.028, 0.250, 0.670), N at (0.285, 0.750, 0.993) and N at (0.463, 0.750, 0.706).



[4]
LaTbNd | PBE | relaxed

As for the electronic total energy: -4.76 eV per atom. The formation energy is 0.020 eV per atom.

The structure belongs to space group Cm (No. 8); the cell edges are 11.549, 5.186 and 3.674 Å and the angles 90.00°, 108.46° and 90.00°. Symmetry generates all atoms from La at (0.000, 0.000, 0.000), Tb at (0.168, 0.500, 0.668) and Nd at (0.332, 0.000, 0.333).



[5]
LiVSeN2 | PBE | relaxed

As for the electronic total energy: -6.24 eV per atom.

The structure belongs to space group P4/mmm (No. 123); the cell edges are 3.741, 3.741 and 5.243 Å and the angles 90.00°, 90.00° and 90.00°. Symmetry generates all atoms from Li at (0.000, 0.000, 0.000), V at (0.500, 0.500, 0.500), Se at (0.500, 0.500, 0.000) and N at (0.000, 0.500, 0.500).



[6]
FeSiHgI2 | PBE | relaxed

As for the electronic total energy: -2.56 eV per atom.

The structure belongs to space group P4/mmm (No. 123); the cell edges are 5.150, 5.150 and 5.104 Å and the angles 90.00°, 90.00° and 90.00°. Symmetry generates all atoms from Fe at (0.000, 0.000, 0.000), Si at (0.500, 0.500, 0.500), Hg at (0.000, 0.000, 0.500) and I at (0.000, 0.500, 0.000).



[7]
EuP7 | PBE | relaxed

As for the electronic total energy: -6.36 eV per atom. The formation energy is -0.341 eV per atom.

The structure belongs to space group P2_1/c (No. 14); the cell edges are 10.658, 5.713 and 13.316 Å and the angles 90.00°, 124.08° and 90.00°. Symmetry generates all atoms from Eu at (0.247, 0.108, 0.284), P at (0.005, 0.042, 0.585), P at (0.038, 0.204, 0.861), P at (0.211, 0.054, 0.041), P at (0.216, 0.705, 0.970), P at (0.365, 0.596, 0.278), P at (0.416, 0.568, 0.139) and P at (0.417, 0.220, 0.065).



[8]
CoAg3 | PBE | relaxed

As for the electronic total energy: -3.51 eV per atom. The formation energy is 0.408 eV per atom.

The structure belongs to space group Fm-3m (No. 225); the cell edges are 6.406, 6.406 and 6.406 Å and the angles 90.00°, 90.00° and 90.00°. Symmetry generates all atoms from Co at (0.000, 0.000, 0.000), Ag at (0.000, 0.000, 0.500) and Ag at (0.250, 0.250, 0.250).